Ho2ZnCu: relaxed, PBE-GGA.

Results
DOS(E_F)	0.788	states/eV per atom
energy of formation	-0.294	eV/atom
space group	No. 225

a = 4.952 Å, b = 4.952 Å, c = 4.952 Å
α = 60.00°, β = 60.00°, γ = 60.00°
Fractional positions:
Ho (0.250, 0.250, 0.250)
Ho (0.750, 0.750, 0.750)
Zn (0.000, 0.000, 0.000)
Cu (0.500, 0.500, 0.500)